# GGA-PBE CePr2Ir2, optimized geometry
data_CePr2Ir2
_chemical_formula_sum 'Ce4 Pr8 Ir8'
_cell_length_a 11.541
_cell_length_b 6.192
_cell_length_c 7.490
_cell_angle_alpha 90.00
_cell_angle_beta 100.77
_cell_angle_gamma 90.00
_symmetry_space_group_name_H-M 'C 1 2/c 1'
_symmetry_Int_Tables_number 15
_symmetry_space_group_name_Hall '-C 2yc'
loop_
_atom_site_label
_atom_site_fract_x
_atom_site_fract_y
_atom_site_fract_z
Ce1 0.000 0.081 0.250
Pr1 0.157 0.385 0.648
Ir1 0.156 0.120 0.021
# Volume: 525.84 Å³ per cell
# Magnetization: 0.00 μB per cell
# Raw total energy: -7.26 eV/atom
# Relative energy among the computed polymorphs: 0 meV per atom
# Energy of formation: -615.1 meV per atom

***

# GGA-PBE ScGe2Bi, optimized geometry
data_ScGe2Bi
_chemical_formula_sum 'Sc4 Ge8 Bi4'
_cell_length_a 6.497
_cell_length_b 6.497
_cell_length_c 12.199
_cell_angle_alpha 90.00
_cell_angle_beta 90.00
_cell_angle_gamma 90.00
_symmetry_space_group_name_H-M 'I -4 2 d'
_symmetry_Int_Tables_number 122
_symmetry_space_group_name_Hall 'I -4 2bw'
loop_
_atom_site_label
_atom_site_fract_x
_atom_site_fract_y
_atom_site_fract_z
Sc1 0.000 0.000 0.000
Ge1 0.243 0.250 0.125
Bi1 0.000 0.000 0.500
# Volume: 514.95 Å³ per cell
# Magnetization: 0.00 μB per cell
# Raw total energy: -4.68 eV/atom
# Energy of formation: 182.1 meV per atom

***

# GGA-PBE Np2GeIr3, optimized geometry
data_Np2GeIr3
_chemical_formula_sum 'Np4 Ge2 Ir6'
_cell_length_a 5.5707
_cell_length_b 5.5707
_cell_length_c 7.9020
_cell_angle_alpha 90.00
_cell_angle_beta 90.00
_cell_angle_gamma 120.00
_symmetry_space_group_name_H-M 'P 63/m m c'
_symmetry_Int_Tables_number 194
_symmetry_space_group_name_Hall '-P 6c 2c'
loop_
_atom_site_label
_atom_site_fract_x
_atom_site_fract_y
_atom_site_fract_z
Np1 0.3333 0.6667 0.0754
Ge1 0.0000 0.0000 0.0000
Ir1 0.1711 0.3422 0.7500
# Volume: 212.36 Å³ per cell
# Magnetization: 12.97 μB per cell
# Raw total energy: -10.03 eV/atom
# Energy of formation: -514.1 meV per atom